No. 1
DFT (meta-GGA SCAN) results for a crystal of HfTi2NbRh relaxed with PBEsol.

a b c (Å): 4.5268 4.5268 4.9888
angles (deg): 90.00 90.00 90.00
Positions (direct):
Ti 0.0000 0.5000 0.0000
Hf 0.0000 0.0000 0.5000
Nb 0.0000 0.0000 0.0000
Rh 0.5000 0.5000 0.5000
Ti 0.5000 0.0000 0.0000

* energy: -31.2394 eV/atom
* DOS(E_F): 6.4 states/eV/f.u.
* ρ: 7.6 g/cm³

No. 2
DFT (meta-GGA SCAN) results for a crystal of YHfNb2Rh relaxed with PBEsol.

a b c (Å): 4.8347 4.8347 5.0153
angles (deg): 90.00 90.00 90.00
Last column: magnetic moment on the atom in μB.
Positions (direct):
Rh 0.0000 0.0000 0.0000  0.01
Nb 0.5000 0.0000 0.0000  0.04
Hf 0.5000 0.5000 0.5000  0.12
Y 0.0000 0.0000 0.5000  0.04
Nb 0.0000 0.5000 0.0000  0.04

* energy: -37.4677 eV/atom
* DOS(E_F): 7.5 states/eV/f.u.
* ρ: 7.9 g/cm³

No. 3
DFT (meta-GGA SCAN) results for a crystal of HfNbTc2S relaxed with PBEsol.

a b c (Å): 4.3403 4.3403 4.5011
angles (deg): 90.00 90.00 90.00
Positions (direct):
S 0.0000 0.0000 0.0000
Hf 0.5000 0.5000 0.5000
Tc 0.5000 0.0000 0.0000
Nb 0.0000 0.0000 0.5000
Tc 0.0000 0.5000 0.0000

* energy: -35.1157 eV/atom
* DOS(E_F): 4.6 states/eV/f.u.
* ρ: 9.8 g/cm³
* E_form (uncorrected): -0.0055 eV/atom

No. 4
DFT (meta-GGA SCAN) results for a crystal of SrHf2NbSb relaxed with PBEsol.

a b c (Å): 4.9886 4.9886 5.7385
angles (deg): 90.00 90.00 90.00
Positions (direct):
Hf 0.5000 0.0000 0.0000
Hf 0.0000 0.5000 0.0000
Nb 0.0000 0.0000 0.0000
Sb 0.5000 0.5000 0.5000
Sr 0.0000 0.0000 0.5000

* energy: -42.7676 eV/atom
* DOS(E_F): 4.4 states/eV/f.u.
* ρ: 7.7 g/cm³
* E_form (uncorrected): 0.8348 eV/atom